[1]
Entry from the Open Quantum Materials Database: HfCuReSi after structural relaxation (GGA-PBE).

Lattice parameters (Å, degrees): 4.437 4.437 4.437 60.00 60.00 60.00
Fractional coordinates of all 4 atoms:
Cu (0.750, 0.750, 0.750)
Hf (0.250, 0.250, 0.250)
Re (0.500, 0.500, 0.500)
Si (0.000, 0.000, 0.000)

## Properties
The calculation puts the volume at 15.44 A^3/atom. Its space group is F-43m, No. 216. As for the relative energy among the computed polymorphs: 0.303 eV/atom.

[2]
Entry from the Open Quantum Materials Database: HfCuReSi after structural relaxation (GGA-PBE).

Lattice parameters (Å, degrees): 4.395 4.395 4.395 60.00 60.00 60.00
Fractional coordinates of all 4 atoms:
Cu (0.750, 0.750, 0.750)
Hf (0.500, 0.500, 0.500)
Re (0.250, 0.250, 0.250)
Si (0.000, 0.000, 0.000)

## Properties
The calculation puts the volume at 15.00 A^3/atom. Its space group is F-43m, No. 216. As for the relative energy among the computed polymorphs: 0.000 eV/atom.

[3]
Entry from the Open Quantum Materials Database: HfCuReSn after structural relaxation (GGA-PBE).

Lattice parameters (Å, degrees): 4.596 4.596 4.596 60.00 60.00 60.00
Fractional coordinates of all 4 atoms:
Cu (0.750, 0.750, 0.750)
Hf (0.500, 0.500, 0.500)
Re (0.250, 0.250, 0.250)
Sn (0.000, 0.000, 0.000)

## Properties
The calculation puts the volume at 17.16 A^3/atom. Its space group is F-43m, No. 216. As for the relative energy among the computed polymorphs: 0.000 eV/atom.

[4]
Entry from the Open Quantum Materials Database: HfTlCuRe after structural relaxation (GGA-PBE).

Lattice parameters (Å, degrees): 4.668 4.668 4.668 60.00 60.00 60.00
Fractional coordinates of all 4 atoms:
Cu (0.750, 0.750, 0.750)
Hf (0.250, 0.250, 0.250)
Re (0.500, 0.500, 0.500)
Tl (0.000, 0.000, 0.000)

## Properties
The calculation puts the volume at 17.98 A^3/atom. Its space group is F-43m, No. 216. As for the relative energy among the computed polymorphs: 0.141 eV/atom.

[5]
Entry from the Open Quantum Materials Database: HfTlCuRe after structural relaxation (GGA-PBE).

Lattice parameters (Å, degrees): 4.650 4.650 4.650 60.00 60.00 60.00
Fractional coordinates of all 4 atoms:
Cu (0.750, 0.750, 0.750)
Hf (0.500, 0.500, 0.500)
Re (0.250, 0.250, 0.250)
Tl (0.000, 0.000, 0.000)

## Properties
The calculation puts the volume at 17.78 A^3/atom. Its space group is F-43m, No. 216. As for the relative energy among the computed polymorphs: 0.000 eV/atom.

[6]
Entry from the Open Quantum Materials Database: HfCuReW after structural relaxation (GGA-PBE).

Lattice parameters (Å, degrees): 4.488 4.488 4.488 60.00 60.00 60.00
Fractional coordinates of all 4 atoms:
Cu (0.750, 0.750, 0.750)
Hf (0.500, 0.500, 0.500)
Re (0.250, 0.250, 0.250)
W (0.000, 0.000, 0.000)

## Properties
The calculation puts the volume at 15.98 A^3/atom. The energy relative to the elements is 5 kJ/mol of formula units. Its space group is F-43m, No. 216. As for the relative energy among the computed polymorphs: 0.000 eV/atom.

[7]
Entry from the Open Quantum Materials Database: HfCuReW after structural relaxation (GGA-PBE).

Lattice parameters (Å, degrees): 4.472 4.472 4.472 60.00 60.00 60.00
Fractional coordinates of all 4 atoms:
Cu (0.750, 0.750, 0.750)
Hf (0.000, 0.000, 0.000)
Re (0.500, 0.500, 0.500)
W (0.250, 0.250, 0.250)

## Properties
The calculation puts the volume at 15.81 A^3/atom. The energy relative to the elements is 30 kJ/mol of formula units. Its space group is F-43m, No. 216. As for the relative energy among the computed polymorphs: 0.065 eV/atom.

[8]
Entry from the Open Quantum Materials Database: HfZnCuRe after structural relaxation (GGA-PBE).

Lattice parameters (Å, degrees): 4.465 4.465 4.465 60.00 60.00 60.00
Fractional coordinates of all 4 atoms:
Cu (0.750, 0.750, 0.750)
Hf (0.500, 0.500, 0.500)
Re (0.250, 0.250, 0.250)
Zn (0.000, 0.000, 0.000)

## Properties
The calculation puts the volume at 15.73 A^3/atom. The energy relative to the elements is 54 kJ/mol of formula units. Its space group is F-43m, No. 216. As for the relative energy among the computed polymorphs: 0.000 eV/atom.

[9]
Entry from the Open Quantum Materials Database: HfCu2S3 after structural relaxation (GGA-PBE).

Lattice parameters (Å, degrees): 6.578 6.578 6.756 99.57 99.57 120.11
Fractional coordinates of all 12 atoms:
Cu (0.618, 0.122, 0.143)
Cu (0.989, 0.823, 0.149)
Cu (0.122, 0.618, 0.643)
Cu (0.823, 0.989, 0.649)
Hf (0.281, 0.450, 0.126)
Hf (0.450, 0.281, 0.626)
S (0.245, 0.752, 0.001)
S (0.894, 0.069, 0.005)
S (0.602, 0.424, 0.011)
S (0.752, 0.245, 0.501)
S (0.069, 0.894, 0.505)
S (0.424, 0.602, 0.511)

## Properties
The calculation puts the volume at 19.87 A^3/atom. Its space group is Cc, No. 9.

[10]
Entry from the Open Quantum Materials Database: HfCu2S3 after structural relaxation (GGA-PBE).

Lattice parameters (Å, degrees): 10.669 6.259 6.495 90.00 92.60 90.00
Fractional coordinates of all 24 atoms:
Cu (0.533, 0.299, 0.023)
Cu (0.208, 0.134, 0.042)
Cu (0.292, 0.634, 0.458)
Cu (0.967, 0.799, 0.477)
Cu (0.033, 0.201, 0.523)
Cu (0.708, 0.366, 0.542)
Cu (0.792, 0.866, 0.958)
Cu (0.467, 0.701, 0.977)
Hf (0.833, 0.418, 0.025)
Hf (0.667, 0.918, 0.474)
Hf (0.333, 0.082, 0.526)
Hf (0.167, 0.582, 0.975)
S (0.977, 0.729, 0.135)
S (0.654, 0.678, 0.157)
S (0.312, 0.838, 0.160)
S (0.188, 0.338, 0.340)
S (0.846, 0.178, 0.343)
S (0.523, 0.229, 0.365)
S (0.477, 0.771, 0.635)
S (0.154, 0.822, 0.657)
S (0.812, 0.662, 0.660)
S (0.688, 0.162, 0.840)
S (0.346, 0.322, 0.843)
S (0.023, 0.271, 0.865)

## Properties
The calculation puts the volume at 18.05 A^3/atom. Its space group is P2_1/c, No. 14.

[11]
Entry from the Open Quantum Materials Database: HfCu2Se2S after structural relaxation (GGA-PBE).

Lattice parameters (Å, degrees): 9.592 9.592 6.820 95.50 95.50 22.99
Fractional coordinates of all 12 atoms:
Cu (0.040, 0.040, 0.166)
Cu (0.707, 0.707, 0.444)
Cu (0.293, 0.293, 0.556)
Cu (0.960, 0.960, 0.834)
Hf (0.644, 0.644, 0.050)
Hf (0.356, 0.356, 0.950)
S (0.913, 0.913, 0.144)
S (0.087, 0.087, 0.856)
Se (0.246, 0.246, 0.213)
Se (0.579, 0.579, 0.366)
Se (0.421, 0.421, 0.634)
Se (0.754, 0.754, 0.787)

## Properties
The calculation puts the volume at 20.33 A^3/atom. Its space group is C2/m, No. 12.

[12]
Entry from the Open Quantum Materials Database: HfCu2SeS2 after structural relaxation (GGA-PBE).

Lattice parameters (Å, degrees): 9.469 9.469 6.707 95.75 95.75 22.87
Fractional coordinates of all 12 atoms:
Cu (0.045, 0.045, 0.171)
Cu (0.701, 0.701, 0.478)
Cu (0.299, 0.299, 0.522)
Cu (0.955, 0.955, 0.829)
Hf (0.654, 0.654, 0.058)
Hf (0.346, 0.346, 0.942)
S (0.244, 0.244, 0.211)
S (0.585, 0.585, 0.349)
S (0.415, 0.415, 0.651)
S (0.756, 0.756, 0.789)
Se (0.912, 0.912, 0.170)
Se (0.088, 0.088, 0.830)

## Properties
The calculation puts the volume at 19.37 A^3/atom. Its space group is C2/m, No. 12. As for the relative energy among the computed polymorphs: 0.012 eV/atom.

Number 1: final energy -7.6287 eV per atom. Number 2: final energy -7.9320 eV per atom. Number 3: final energy -7.4650 eV per atom. Number 4: final energy -6.5652 eV per atom. Number 5: final energy -6.7058 eV per atom. Number 6: final energy -9.7515 eV per atom. Number 7: final energy -9.6869 eV per atom. Number 8: final energy -6.7006 eV per atom. Number 9: final energy -5.7463 eV per atom. Number 10: final energy -5.7618 eV per atom. Number 11: final energy -5.5399 eV per atom. Number 12: final energy -5.6771 eV per atom.